1.
Material: LiThB
Method: DFT, PBE-GGA
State: relaxed

```
LiThB
1.0
0.0000 2.9859 2.9859
2.9859 0.0000 2.9859
2.9859 2.9859 0.0000
Li Th B
1 1 1
Cartesian
1.4929 1.4929 1.4929
0.0000 0.0000 0.0000
2.9859 2.9859 2.9859
```

Computed properties:
energy above the lowest structure with this stoichiometry = 0.493 eV per atom
calculated volume = 53.2 Å³ per cell
spin magnetization = 0.0 Bohr magnetons per cell
calculated density = 7.79 Mg/m³


2.
Material: LiThB4
Method: DFT, PBE-GGA
State: relaxed

```
LiThB4
1.0
-1.5924 2.7149 4.1383
1.5924 -2.7149 4.1383
1.5924 2.7149 -4.1383
Th B Li
1 4 1
Cartesian
0.0000 0.0000 4.1383
1.5924 0.9590 2.1107
0.0000 3.6739 2.0277
1.5924 -0.9590 2.1107
0.0000 1.7559 2.0277
0.0000 0.0000 0.0000
```

Computed properties:
energy above the lowest structure with this stoichiometry = 0.000 eV per atom
calculated volume = 71.6 Å³ per cell
spin magnetization = 0.0 Bohr magnetons per cell
calculated density = 6.55 Mg/m³


Q: Look up the calculated density of the first one.
A: 7.79 Mg/m³


Q: What is the energy above the lowest structure with this stoichiometry in the first record?
A: 0.493 eV per atom